The following is a PBE-GGA calculation of an optimized crystal structure of SmSc2Ir, from Alexandria via LeMat-Bulk.

Properties
SG = No. 63
calculated total energy = -7.118 eV per atom
calculated formation energy = -0.56 eV/atom
energy above the lowest structure with this stoichiometry = 0 meV per atom
calculated volume = 23.8 A^3/atom
DOS at the Fermi energy = 1.269 states/eV per atom

```
8
Lattice="2.2276 -5.8009 0.0000 2.2276 5.8009 0.0000 0.0000 0.0000 7.3822" Properties=species:S:1:pos:R:3 pbc="T T T"
Sm 2.2276 5.1905 5.5367
Sm 2.2276 -5.1905 1.8456
Sc 2.2276 1.8347 4.0181
Sc 2.2276 1.8347 7.0552
Sc 2.2276 -1.8347 0.3270
Sc 2.2276 -1.8347 3.3641
Ir 2.2276 3.5312 1.8456
Ir 2.2276 -3.5312 5.5367
```

=====

The following is a PBE-GGA calculation of an optimized crystal structure of SmSc2Ir, from Alexandria via LeMat-Bulk.

Properties
SG = No. 166
calculated total energy = -6.872 eV per atom
calculated formation energy = -0.31 eV/atom
energy above the lowest structure with this stoichiometry = 246 meV per atom
calculated volume = 24.2 A^3/atom
DOS at the Fermi energy = 0.991 states/eV per atom

```
4
Lattice="2.2312 1.2882 5.6221 -2.2312 1.2882 5.6221 0.0000 -2.5763 5.6221" Properties=species:S:1:pos:R:3 pbc="T T T"
Sm 0.0000 0.0000 0.0000
Sc 0.0000 0.0000 3.6014
Sc 0.0000 0.0000 13.2650
Ir 0.0000 0.0000 8.4332
```